First-principles (PBE) data for a relaxed Li5Hg4 crystal, as listed in Alexandria via LeMat-Bulk.

abc: 6.7138 6.7138 6.7138
angles: 95.59 95.59 143.62
Fractional coordinates of all 9 atoms:
Hg 0.6909 0.0000 0.6909
Hg 0.3091 0.0000 0.3091
Hg 0.0000 0.3091 0.3091
Hg 0.0000 0.6909 0.6909
Li 0.0000 0.0000 0.0000
Li 0.6717 0.3283 0.0000
Li 0.3283 0.6717 0.0000
Li 0.3283 0.3283 0.6565
Li 0.6717 0.6717 0.3435

Output
polymorph energy (0 for the lowest one) = 3.5 kJ/mol of atoms
crystal system = tetragonal
space group = I4/mmm (139)
total magnetic moment = 0.0 μB/f.u.

***

First-principles (PBE) data for a relaxed LiHg crystal, as listed in Alexandria via LeMat-Bulk.

abc: 5.4765 5.4765 5.5403
angles: 90.00 90.00 90.00
Fractional coordinates of all 8 atoms:
Li 0.6959 0.3041 0.0000
Li 0.1959 0.1959 0.5000
Li 0.8041 0.8041 0.5000
Li 0.3041 0.6959 0.0000
Hg 0.7984 0.7984 0.0000
Hg 0.2984 0.7016 0.5000
Hg 0.7016 0.2984 0.5000
Hg 0.2016 0.2016 0.0000

Output
crystal system = tetragonal
space group = P4_2/mnm (136)
E = -1.33 eV/atom
total magnetic moment = 0.0 μB/f.u.

***

First-principles (PBE) data for a relaxed LiHg crystal, as listed in Alexandria via LeMat-Bulk.

abc: 10.0697 10.0697 10.0697
angles: 18.20 18.20 18.20
Fractional coordinates of all 4 atoms:
Hg 0.9916 0.9916 0.9916
Hg 0.7584 0.7584 0.7584
Li 0.4990 0.4990 0.4990
Li 0.2510 0.2510 0.2510

Output
crystal system = trigonal
space group = R-3m (166)
E = -1.25 eV/atom
total magnetic moment = 0.0 μB/f.u.